(1)
VASP calculation (PBE-GGA) on SnS2Br after structural relaxation.

Values from the calculation:
electronic total energy	-43.20	eV per cell
formation energy without anion corrections	-0.117	eV per atom

The structure in CIF format:
```
data_SnS2Br
_symmetry_space_group_name_H-M 'R -3 m'
_symmetry_Int_Tables_number 166
_symmetry_space_group_name_Hall '-R 3 2"'
_cell_length_a 4.0041
_cell_length_b 4.0041
_cell_length_c 23.7343
_cell_angle_alpha 90.00
_cell_angle_beta 90.00
_cell_angle_gamma 120.00
loop_
_atom_site_label
_atom_site_type_symbol
_atom_site_fract_x
_atom_site_fract_y
_atom_site_fract_z
Sn1 Sn 0.0000 0.0000 0.0000
S1 S 0.0000 0.0000 0.3956
Br1 Br 0.0000 0.0000 0.5000
```



(2)
VASP calculation (PBE-GGA) on Sn3SBr after structural relaxation.

Values from the calculation:
electronic total energy	-16.79	eV per cell
formation energy without anion corrections	0.204	eV per atom

The structure in CIF format:
```
data_Sn3SBr
_symmetry_space_group_name_H-M 'P m -3 m'
_symmetry_Int_Tables_number 221
_symmetry_space_group_name_Hall '-P 4 2 3'
_cell_length_a 5.498
_cell_length_b 5.498
_cell_length_c 5.498
_cell_angle_alpha 90.00
_cell_angle_beta 90.00
_cell_angle_gamma 90.00
loop_
_atom_site_label
_atom_site_type_symbol
_atom_site_fract_x
_atom_site_fract_y
_atom_site_fract_z
Sn1 Sn 0.000 0.000 0.500
S1 S 0.000 0.000 0.000
Br1 Br 0.500 0.500 0.500
```